The following is a PBE calculation of a geometry-optimized Hg3GeI structure, from the Alexandria database.

Geometry as CIF:
```
data_Hg3GeI
_cell_length_a 5.3836
_cell_length_b 5.3836
_cell_length_c 5.3836
_cell_angle_alpha 90.00
_cell_angle_beta 90.00
_cell_angle_gamma 90.00
_symmetry_space_group_name_H-M 'P m -3 m'
_symmetry_Int_Tables_number 221
_symmetry_space_group_name_Hall '-P 4 2 3'
loop_
_atom_site_label
_atom_site_type_symbol
_atom_site_fract_x
_atom_site_fract_y
_atom_site_fract_z
Hg1 Hg 0.0000 0.0000 0.5000
Ge1 Ge 0.0000 0.0000 0.0000
I1 I 0.5000 0.5000 0.5000
```

M_tot: 0.0 Bohr magnetons per cell
Final energy: -1.439 eV/atom
D(E_F): 1.2 states/eV/cell
Energy above the lowest structure with this stoichiometry: 0.000 eV per formula unit